Crystalline La2CdCo at its relaxed geometry. Source: the Alexandria database, functional PBE-GGA.

a = 3.838 Å, b = 4.903 Å, c = 6.191 Å
α = 66.57°, β = 90.00°, γ = 90.00°
Atoms (fractional coordinates):
La 0.000 0.992 0.890
Cd 0.000 0.690 0.495
La 0.500 0.306 0.263
Co 0.500 0.513 0.852

Summary:
Symmetry ... No. 6
Energy of formation from the pure elements ... -112.3 meV per atom